Here is a relaxed structure of CoRe from the Alexandria database. Energies are from GGA-PBE.

Computed properties:
Mass density: 15.59 Mg/m³
Total DFT energy (no corrections): -0.7083 Ry per atom
V: 26 Å³ per cell
Symmetry: R-3m (166)
Magnetic moment: 1.04 μB/f.u.

a b c (Å): 4.535 4.535 4.535
angles (deg): 34.08 34.08 34.08
Fractional positions:
Co  0.000  0.000  0.000
Re  0.500  0.500  0.500